VASP calculation (GGA-PBE) on crystalline SrBe2Re at its relaxed geometry.

Raw total energy   -18.09 eV/f.u.
ΔH_f (0 K)   0.87 eV per atom

Unit cell a=4.1284 b=5.2853 c=6.5574 alpha=90.00 beta=90.00 gamma=90.00
With the nearest neighbours (Å) after each atom.
Space group Immm (No. 71)
Symmetry-distinct sites (fractional):
Sr 0.0000 0.0000 0.0000 x2  8 Be 2.88-2.96
Be 0.0000 0.5000 0.1756 x4  1 Be 2.30, 2 Re 2.36
Re 0.0000 0.0000 0.5000 x2  4 Be 2.36



VASP calculation (GGA-PBE) on crystalline K2LiNpTe4 at its relaxed geometry.

Raw total energy   -36.10 eV/f.u.
Formation energy from raw total energies   -811 meV per atom

Unit cell a=7.6755 b=4.5400 c=8.4803 alpha=90.00 beta=107.99 gamma=90.00
With the nearest neighbours (Å) after each atom.
Space group P2/m (No. 10)
Symmetry-distinct sites (fractional):
K 0.0000 0.0000 0.0000 x1  6 Te 3.55-3.62
K 0.5000 0.5000 0.0000 x1  6 Te 3.48-3.54
Li 0.0000 0.5000 0.5000 x1  6 Te 3.08-3.09
Np 0.5000 0.0000 0.5000 x1  6 Te 2.94-3.05
Te 0.2433 0.0000 0.6955 x2  1 Np 2.94, 2 Li 3.08
Te 0.2722 0.5000 0.2972 x2  2 Np 3.05, 1 Li 3.09



VASP calculation (GGA-PBE) on crystalline CaOs3S at its relaxed geometry.

Raw total energy   -22.11 eV/f.u.
Formation energy from raw total energies   3541 meV per atom

Unit cell a=4.8184 b=4.8184 c=4.8184 alpha=90.00 beta=90.00 gamma=90.00
With the nearest neighbours (Å) after each atom.
Space group Pm-3m (No. 221)
Symmetry-distinct sites (fractional):
Ca 0.0000 0.0000 0.0000 x1  6 Os 2.41
Os 0.0000 0.0000 0.5000 x3  2 Ca 2.41
S 0.5000 0.5000 0.5000 x1  12 Os 3.41



VASP calculation (GGA-PBE) on crystalline CeSnPd3 at its relaxed geometry.

Raw total energy   -27.41 eV/f.u.
ΔH_f (0 K)   -0.38 eV per atom

Unit cell a=5.3043 b=16.6520 c=5.0862 alpha=90.00 beta=90.00 gamma=90.00
With the nearest neighbours (Å) after each atom.
Space group Cmcm (No. 63)
Symmetry-distinct sites (fractional):
Ce 0.0000 0.0823 0.2500 x4  2 Pd 2.59
Sn 0.0000 0.3550 0.2500 x4  4 Pd 2.72-2.73
Pd 0.0000 0.5000 0.0000 x4  2 Pd 2.54, 2 Sn 2.73
Pd 0.2408 0.2862 0.7500 x8  4 Pd 2.55-2.82, 1 Ce 2.59, 1 Sn 2.72



VASP calculation (GGA-PBE) on crystalline K2PrTlBr6 at its relaxed geometry.

Raw total energy   -35.78 eV/f.u.
Formation energy from raw total energies   -1641 meV per atom

Unit cell a=8.1846 b=8.1931 c=8.5683 alpha=90.05 beta=118.49 gamma=119.95
With the nearest neighbours (Å) after each atom.
Space group P1 (No. 1)
Symmetry-distinct sites (fractional):
K 0.0000 0.0000 0.0000 x1  6 Br 3.34-3.43
K 0.0191 0.5100 0.5287 x1  6 Br 3.29-3.40
Pr 0.4103 0.2052 0.6156 x1  6 Br 2.92-2.95
Tl 0.4291 0.7145 0.1442 x1  6 Br 3.27-3.46
Br 0.2495 0.4045 0.3555 x1  1 Pr 2.95, 1 Tl 3.27, 1 K 3.29
Br 0.2716 0.3182 0.8298 x1  1 Pr 2.92
Br 0.5110 0.1061 0.3556 x1  1 Pr 2.95, 1 Tl 3.27, 1 K 3.29
Br 0.5115 0.9541 0.8299 x1  1 Pr 2.92
Br 0.8755 0.5577 0.8300 x1  1 Pr 2.92
Br 0.9508 0.8452 0.3556 x1  1 Pr 2.95, 1 Tl 3.27, 1 K 3.29



VASP calculation (GGA-PBE) on crystalline Tb5Te2C2 at its relaxed geometry.

Raw total energy   -53.22 eV/f.u.
Formation energy from raw total energies   -593 meV per atom

Unit cell a=17.7027 b=7.6650 c=6.7494 alpha=90.00 beta=90.00 gamma=90.00
With the nearest neighbours (Å) after each atom.
Space group Ima2 (No. 46)
Symmetry-distinct sites (fractional):
Tb 0.0217 0.2447 0.0000 x8  2 C 2.51-2.66
Tb 0.1395 0.5620 0.2292 x8  2 C 2.32-2.52
Tb 0.2500 0.1488 0.1486 x4  2 C 2.33
Te 0.1069 0.5440 0.7658 x8  7 Tb 3.04-3.28
C 0.0000 0.0000 0.7598 x4  6 Tb 2.51-2.66
C 0.2500 0.0841 0.8119 x4  4 Tb 2.32-2.33



VASP calculation (GGA-PBE) on crystalline ErPdPt at its relaxed geometry.

Raw total energy   -18.12 eV/f.u.
ΔH_f (0 K)   -0.78 eV per atom

Unit cell a=3.8298 b=3.9891 c=4.1994 alpha=90.00 beta=90.00 gamma=90.00
With the nearest neighbours (Å) after each atom.
Space group Pmmm (No. 47)
Symmetry-distinct sites (fractional):
Er 0.0000 0.0000 0.0000 x1  4 Pt 2.84, 4 Pd 2.90
Pd 0.0000 0.5000 0.5000 x1  4 Pt 2.76, 4 Er 2.90
Pt 0.5000 0.0000 0.5000 x1  4 Pd 2.76, 4 Er 2.84



VASP calculation (GGA-PBE) on crystalline SmTm4Hg4 at its relaxed geometry.

Raw total energy   -26.01 eV/f.u.
ΔH_f (0 K)   -0.24 eV per atom

Unit cell a=9.5232 b=9.5232 c=5.4397 alpha=90.00 beta=90.00 gamma=90.00
With the nearest neighbours (Å) after each atom.
Space group P4_2/n (No. 86, origin choice 2)
Symmetry-distinct sites (fractional):
Sm 0.2500 0.2500 0.2500 x2  4 Hg 3.14, 4 Tm 3.50
Tm 0.1024 0.8408 0.6576 x8  4 Hg 3.04-3.12, 1 Tm 3.30
Hg 0.0410 0.1442 0.8431 x8  4 Tm 3.04-3.12, 1 Sm 3.14, 3 Hg 3.31-3.33